# 1
Entry from the Alexandria database: a geometry-optimized NiGe3F structure (GGA+U).

Cell lengths 4.5288, 4.5288, 4.5288 Å; angles 90.00, 90.00, 90.00 degrees
Closest atoms and distances in Å follow each position.
Positions (direct):
Ni1 0.0000 0.0000 0.0000  6 Ge 2.26
Ge1 0.0000 0.5000 0.0000  2 Ni 2.26
Ge2 0.0000 0.0000 0.5000  2 Ni 2.26
Ge3 0.5000 0.0000 0.0000  2 Ni 2.26
F1 0.5000 0.5000 0.5000  12 Ge 3.20

Summary:
Polymorph energy (0 for the lowest one)   0.00 kcal/mol of atoms
Calculated total energy   -3.521 eV/atom
Density   5.28 g cm⁻³
SG   Pm-3m
Magnetization   0.00 μB/atom

# 2
Entry from the Alexandria database: a geometry-optimized NiGe3F structure (GGA+U).

Cell lengths 4.4476, 4.4476, 4.4476 Å; angles 90.00, 90.00, 90.00 degrees
Closest atoms and distances in Å follow each position.
Positions (direct):
Ni1 0.5000 0.5000 0.5000  12 Ge 3.14
Ge1 0.0000 0.5000 0.0000  2 F 2.22
Ge2 0.0000 0.0000 0.5000  2 F 2.22
Ge3 0.5000 0.0000 0.0000  2 F 2.22
F1 0.0000 0.0000 0.0000  6 Ge 2.22

Summary:
Polymorph energy (0 for the lowest one)   8.44 kcal/mol of atoms
Calculated total energy   -3.155 eV/atom
Density   5.58 g cm⁻³
SG   Pm-3m
Magnetization   0.00 μB/atom

# 3
Entry from the Alexandria database: a geometry-optimized NiGeF6 structure (GGA+U).

Cell lengths 4.8770, 4.8770, 9.0727 Å; angles 90.00, 90.00, 120.00 degrees
Closest atoms and distances in Å follow each position.
Positions (direct):
Ni1 0.3333 0.6667 0.2500  6 F 2.04
Ni2 0.6667 0.3333 0.7500  6 F 2.04
Ge1 0.0000 0.0000 0.5000  6 F 1.83
Ge2 0.0000 0.0000 0.0000  6 F 1.83
F1 0.2987 0.3144 0.3833  1 Ge 1.83, 1 Ni 2.04
F2 0.7013 0.6856 0.6167  1 Ge 1.83, 1 Ni 2.04
F3 0.0157 0.7013 0.3833  1 Ge 1.83, 1 Ni 2.04
F4 0.2987 0.9843 0.1167  1 Ge 1.83, 1 Ni 2.04
F5 0.9843 0.2987 0.6167  1 Ge 1.83, 1 Ni 2.04
F6 0.7013 0.0157 0.8833  1 Ge 1.83, 1 Ni 2.04
F7 0.6856 0.9843 0.3833  1 Ge 1.83, 1 Ni 2.04
F8 0.0157 0.3144 0.1167  1 Ge 1.83, 1 Ni 2.04
F9 0.3144 0.0157 0.6167  1 Ge 1.83, 1 Ni 2.04
F10 0.9843 0.6856 0.8833  1 Ge 1.83, 1 Ni 2.04
F11 0.6856 0.7013 0.1167  1 Ge 1.83, 1 Ni 2.04
F12 0.3144 0.2987 0.8833  1 Ge 1.83, 1 Ni 2.04

Summary:
Calculated total energy   -4.617 eV/atom
Density   4.36 g cm⁻³
SG   P-31c
Magnetization   0.26 μB/atom

# 4
Entry from the Alexandria database: a geometry-optimized Ni2GeOsF structure (GGA+U).

Cell lengths 3.8339, 4.6258, 3.8339 Å; angles 90.00, 90.00, 90.00 degrees
Closest atoms and distances in Å follow each position.
Positions (direct):
Ni1 0.0000 0.0000 0.5000  2 F 1.92
Ni2 0.5000 0.0000 0.0000  2 F 1.92
Ge1 0.0000 0.5000 0.0000  2 F 2.31
Os1 0.5000 0.5000 0.5000  4 Ge 2.71, 8 Ni 3.00
F1 0.0000 0.0000 0.0000  4 Ni 1.92

Summary:
Calculated total energy   -4.157 eV/atom
Density   9.75 g cm⁻³
SG   P4/mmm
Magnetization   0.60 μB/atom

# 5
Entry from the Alexandria database: a geometry-optimized NiGePtF2 structure (GGA+U).

Cell lengths 3.5872, 6.9553, 3.5872 Å; angles 90.00, 90.00, 90.00 degrees
Closest atoms and distances in Å follow each position.
Positions (direct):
Ni1 0.0000 0.0000 0.0000  4 F 1.79
Ge1 0.0000 0.5000 0.0000  4 Pt 2.54
Pt1 0.5000 0.5000 0.5000  4 Ge 2.54
F1 0.0000 0.0000 0.5000  2 Ni 1.79
F2 0.5000 0.0000 0.0000  2 Ni 1.79

Summary:
Calculated total energy   -4.142 eV/atom
Density   6.76 g cm⁻³
SG   P4/mmm
Magnetization   0.00 μB/atom

# 6
Entry from the Alexandria database: a geometry-optimized Rb2NiGeF6 structure (GGA+U).

Cell lengths 6.0799, 6.0799, 6.0826 Å; angles 60.01, 60.01, 90.00 degrees
Closest atoms and distances in Å follow each position.
Positions (direct):
Ni1 0.5000 0.5000 0.0000  6 F 2.05
Ge1 0.0000 0.0000 0.0000  6 F 2.25
Rb1 0.7500 0.2500 0.5000  12 F 3.04
Rb2 0.2500 0.7500 0.5000  12 F 3.04
F1 0.2614 0.2614 0.4772  1 Ni 2.05, 1 Ge 2.25
F2 0.7386 0.7386 0.5228  1 Ni 2.05, 1 Ge 2.25
F3 0.2613 0.2613 0.0000  1 Ni 2.05, 1 Ge 2.25
F4 0.7387 0.7387 0.0000  1 Ni 2.05, 1 Ge 2.25
F5 0.7387 0.2613 0.0000  1 Ni 2.05, 1 Ge 2.25
F6 0.2613 0.7387 0.0000  1 Ni 2.05, 1 Ge 2.25

Summary:
Calculated total energy   -4.441 eV/atom
Density   4.35 g cm⁻³
SG   Fm-3m
Magnetization   0.20 μB/atom

# 7
Entry from the Alexandria database: a geometry-optimized SiNiGeF2 structure (GGA+U).

Cell lengths 3.7062, 4.9903, 3.7062 Å; angles 90.00, 90.00, 90.00 degrees
Closest atoms and distances in Å follow each position.
Positions (direct):
Ni1 0.0000 0.5000 0.0000  2 Si 2.50, 4 Ge 2.62
Ge1 0.5000 0.5000 0.5000  4 Ni 2.62
Si1 0.0000 0.0000 0.0000  4 F 1.85
F1 0.0000 0.0000 0.5000  2 Si 1.85
F2 0.5000 0.0000 0.0000  2 Si 1.85

Summary:
Calculated total energy   -3.893 eV/atom
Density   4.78 g cm⁻³
SG   P4/mmm
Magnetization   0.00 μB/atom

# 8
Entry from the Alexandria database: a geometry-optimized TlNiGeF6 structure (GGA+U).

Cell lengths 5.4510, 5.4510, 12.1036 Å; angles 90.00, 90.00, 120.00 degrees
Closest atoms and distances in Å follow each position.
Positions (direct):
Tl1 0.0000 0.0000 0.0000  6 F 2.82
Tl2 0.0000 0.0000 0.5000  6 F 2.82
Ni1 0.3333 0.6667 0.2500  6 F 2.04
Ni2 0.6667 0.3333 0.7500  6 F 2.04
Ge1 0.6667 0.3333 0.2500  6 F 2.03
Ge2 0.3333 0.6667 0.7500  6 F 2.03
F1 0.6214 0.6199 0.1578  1 Ge 2.03, 1 Ni 2.04
F2 0.9985 0.3786 0.1578  1 Ge 2.03, 1 Ni 2.04
F3 0.3786 0.9985 0.6578  1 Ge 2.03, 1 Ni 2.04
F4 0.0015 0.6214 0.8422  1 Ge 2.03, 1 Ni 2.04
F5 0.3801 0.3786 0.3422  1 Ge 2.03, 1 Ni 2.04
F6 0.9985 0.6199 0.3422  1 Ge 2.03, 1 Ni 2.04
F7 0.6199 0.9985 0.8422  1 Ge 2.03, 1 Ni 2.04
F8 0.6214 0.0015 0.3422  1 Ge 2.03, 1 Ni 2.04
F9 0.0015 0.3801 0.6578  1 Ge 2.03, 1 Ni 2.04
F10 0.3801 0.0015 0.1578  1 Ge 2.03, 1 Ni 2.04
F11 0.6199 0.6214 0.6578  1 Ge 2.03, 1 Ni 2.04
F12 0.3786 0.3801 0.8422  1 Ge 2.03, 1 Ni 2.04

Summary:
Calculated total energy   -4.371 eV/atom
Density   4.80 g cm⁻³
SG   P-31c
Magnetization   0.33 μB/atom

no.,V (Å³ per atom),DOS at the Fermi energy (states/eV per atom)
1,18.6,0.808
2,17.6,0.704
3,11.7,0.000
4,13.6,0.500
5,17.9,0.266
6,15.9,0.000
7,13.7,0.468
8,17.3,0.233